1.
RbTl2N GGA-PBE relaxed; energy relative to the elements, uncorrected = 0.495 eV per atom; M_tot = 0.00 μB/f.u.; Fermi-level density of states = 0.025 states/eV/atom; E above lowest polymorph = 0 meV per atom
1.0
-4.106 4.106 3.393
4.106 -4.106 3.393
4.106 4.106 -3.393
Rb Tl N
2 4 2
direct
0.000 0.000 0.000
0.750 0.250 0.500
0.235 0.625 0.110
0.375 0.485 0.610
0.515 0.125 0.890
0.875 0.765 0.390
0.250 0.750 0.500
0.500 0.500 0.000

***

2.
Y2Sn2Pd GGA-PBE relaxed; M_tot = 0.00 μB/f.u.; Fermi-level density of states = 0.967 states/eV/atom; energy of formation from the pure elements = -0.68 eV per atom; E above lowest polymorph = 172 meV per atom
1.0
-3.311 6.449 3.163
3.311 -6.449 3.163
3.311 6.449 -3.163
Y Sn Pd
4 4 2
direct
0.128 0.205 0.333
0.372 0.705 0.077
0.628 0.295 0.923
0.872 0.795 0.667
0.128 0.728 0.856
0.372 0.228 0.599
0.628 0.772 0.401
0.872 0.272 0.144
0.250 0.750 0.500
0.750 0.250 0.500

***

3.
Ta5Mo3 GGA-PBE relaxed; M_tot = 0.00 μB/f.u.; Fermi-level density of states = 0.897 states/eV/atom; energy of formation from the pure elements = -0.16 eV per atom; E above lowest polymorph = 13 meV per atom
1.0
-1.622 2.325 9.122
1.622 -2.325 9.122
1.622 2.325 -9.122
Ta Mo
5 3
direct
0.000 0.000 0.000
0.245 0.245 0.000
0.378 0.878 0.500
0.622 0.122 0.500
0.755 0.755 0.000
0.125 0.625 0.500
0.500 0.500 0.000
0.875 0.375 0.500

***

4.
Tb2Tm2Zn3 GGA-PBE relaxed; M_tot = 0.00 μB/f.u.; Fermi-level density of states = 1.205 states/eV/atom; energy of formation from the pure elements = -0.20 eV per atom
1.0
4.956 0.000 0.000
2.469 4.305 0.000
2.463 1.432 8.088
Tb Tm Zn
2 2 3
direct
0.127 0.128 0.120
0.873 0.872 0.880
0.377 0.378 0.369
0.623 0.622 0.631
0.000 0.000 0.500
0.253 0.252 0.741
0.747 0.748 0.259

***

5.
Pm2Ho5Er12 GGA-PBE relaxed; M_tot = 0.00 μB/f.u.; Fermi-level density of states = 1.442 states/eV/atom; energy of formation from the pure elements = 0.13 eV per atom
1.0
7.833 -4.580 0.000
7.833 4.580 0.000
-0.173 0.000 8.443
Pm Ho Er
2 5 12
direct
0.184 0.816 0.000
0.816 0.184 0.000
0.198 0.198 0.009
0.267 0.267 0.423
0.500 0.500 0.500
0.733 0.733 0.577
0.802 0.802 0.991
0.057 0.057 0.330
0.065 0.681 0.346
0.163 0.525 0.755
0.319 0.935 0.654
0.407 0.407 0.117
0.475 0.837 0.245
0.525 0.163 0.755
0.593 0.593 0.883
0.681 0.065 0.346
0.837 0.475 0.245
0.935 0.319 0.654
0.943 0.943 0.670

***

6.
TlSnAu GGA-PBE relaxed; M_tot = 0.00 μB/f.u.; Fermi-level density of states = 0.390 states/eV/atom; energy of formation from the pure elements = -0.09 eV per atom
1.0
4.526 0.000 0.000
2.088 5.121 0.000
2.243 0.621 6.731
Tl Sn Au
2 2 2
direct
0.096 0.181 0.129
0.904 0.819 0.871
0.312 0.273 0.577
0.688 0.727 0.423
0.373 0.577 0.201
0.627 0.423 0.799

***

7.
AsBrF2 GGA-PBE relaxed; energy relative to the elements, uncorrected = -1.246 eV per atom; M_tot = 0.19 μB/f.u.; Fermi-level density of states = 0.498 states/eV/atom; E above lowest polymorph = 304 meV per atom
1.0
-1.393 4.765 3.863
1.393 -4.765 3.863
1.393 4.765 -3.863
As Br F
1 1 2
direct
0.000 0.000 0.000
0.591 0.591 0.000
0.008 0.149 0.859
0.290 0.149 0.141

***

8.
HgAs4Ru GGA-PBE relaxed; M_tot = 1.96 μB/f.u.; Fermi-level density of states = 0.628 states/eV/atom; energy of formation from the pure elements = 0.76 eV per atom
1.0
0.000 3.907 3.907
3.907 0.000 3.907
3.907 3.907 0.000
Hg As Ru
1 4 1
direct
0.000 0.000 0.000
0.375 0.375 0.375
0.375 0.375 0.875
0.375 0.875 0.375
0.875 0.375 0.375
0.750 0.750 0.750

***

Q: Number 6 is which compound?
A: TlSnAu

***

Q: Among the records above, which one has the highest M_tot?
A: HgAs4Ru